Entry 1:
This record from the Alexandria database describes an optimized crystal structure of Ho5AlNi2. The functional is GGA-PBE.

DFT total energy = -163.5 eV/cell

```
data_Ho5AlNi2
_chemical_formula_sum 'Ho20 Al4 Ni8'
_cell_length_a 7.582
_cell_length_b 7.582
_cell_length_c 13.137
_cell_angle_alpha 90.00
_cell_angle_beta 90.00
_cell_angle_gamma 90.00
_symmetry_space_group_name_H-M 'I 4/m c m'
_symmetry_Int_Tables_number 140
_symmetry_space_group_name_Hall '-I 4 2c'
loop_
_atom_site_label
_atom_site_type_symbol
_atom_site_fract_x
_atom_site_fract_y
_atom_site_fract_z
Ho1 Ho 0.000 0.000 0.000
Ho2 Ho 0.162 0.338 0.138
Al1 Al 0.000 0.000 0.250
Ni1 Ni 0.126 0.374 0.500
```



Entry 2:
This record from the Alexandria database describes an optimized crystal structure of La2PmTl. The functional is GGA-PBE.

Energy above the lowest structure with this stoichiometry = 0.55 eV per formula unit

```
data_La2PmTl
_chemical_formula_sum 'La8 Pm4 Tl4'
_cell_length_a 8.070
_cell_length_b 8.070
_cell_length_c 8.070
_cell_angle_alpha 90.00
_cell_angle_beta 90.00
_cell_angle_gamma 90.00
_symmetry_space_group_name_H-M 'F m -3 m'
_symmetry_Int_Tables_number 225
_symmetry_space_group_name_Hall '-F 4 2 3'
loop_
_atom_site_label
_atom_site_type_symbol
_atom_site_fract_x
_atom_site_fract_y
_atom_site_fract_z
La1 La 0.250 0.250 0.250
Pm1 Pm 0.000 0.000 0.000
Tl1 Tl 0.000 0.000 0.500
```



Entry 3:
This record from the Alexandria database describes an optimized crystal structure of TcTeAuI2. The functional is GGA-PBE.

Energy above the lowest structure with this stoichiometry = 1.85 eV per formula unit
E_form (uncorrected) = 5.2 eV per formula unit

```
data_TcTeAuI2
_chemical_formula_sum 'Tc1 Te1 Au1 I2'
_cell_length_a 5.496
_cell_length_b 5.496
_cell_length_c 5.705
_cell_angle_alpha 90.00
_cell_angle_beta 90.00
_cell_angle_gamma 90.00
_symmetry_space_group_name_H-M 'P 4/m m m'
_symmetry_Int_Tables_number 123
_symmetry_space_group_name_Hall '-P 4 2'
loop_
_atom_site_label
_atom_site_type_symbol
_atom_site_fract_x
_atom_site_fract_y
_atom_site_fract_z
Tc1 Tc 0.000 0.000 0.000
Te1 Te 0.500 0.500 0.000
Au1 Au 0.500 0.500 0.500
I1 I 0.000 0.500 0.500
```



Entry 4:
This record from the Alexandria database describes an optimized crystal structure of KH2Rh. The functional is GGA-PBE.

Energy above the lowest structure with this stoichiometry = 3.54 eV per formula unit

```
data_KH2Rh
_chemical_formula_sum 'K4 H8 Rh4'
_cell_length_a 5.882
_cell_length_b 5.882
_cell_length_c 5.882
_cell_angle_alpha 90.00
_cell_angle_beta 90.00
_cell_angle_gamma 90.00
_symmetry_space_group_name_H-M 'F m -3 m'
_symmetry_Int_Tables_number 225
_symmetry_space_group_name_Hall '-F 4 2 3'
loop_
_atom_site_label
_atom_site_type_symbol
_atom_site_fract_x
_atom_site_fract_y
_atom_site_fract_z
K1 K 0.000 0.000 0.000
H1 H 0.250 0.250 0.250
Rh1 Rh 0.000 0.000 0.500
```



Entry 5:
This record from the Alexandria database describes an optimized crystal structure of LiHgPd. The functional is GGA-PBE.

Energy above the lowest structure with this stoichiometry = 0.00 eV per formula unit

```
data_LiHgPd
_chemical_formula_sum 'Li1 Hg1 Pd1'
_cell_length_a 4.4314
_cell_length_b 4.4314
_cell_length_c 2.9332
_cell_angle_alpha 90.00
_cell_angle_beta 90.00
_cell_angle_gamma 120.00
_symmetry_space_group_name_H-M 'P 3 m 1'
_symmetry_Int_Tables_number 156
loop_
_symmetry_equiv_pos_as_xyz
'x,y,z'
'-y,x-y,z'
'-x+y,-x,z'
'-y,-x,z'
'-x+y,y,z'
'x,x-y,z'
loop_
_atom_site_label
_atom_site_type_symbol
_atom_site_fract_x
_atom_site_fract_y
_atom_site_fract_z
Li1 Li 0.0000 0.0000 0.0000
Hg1 Hg 0.3333 0.6667 0.6450
Pd1 Pd 0.6667 0.3333 0.1890
```



Entry 6:
This record from the Alexandria database describes an optimized crystal structure of In3Ga3Sn. The functional is GGA-PBE.

Energy above the lowest structure with this stoichiometry = 0.00 eV per formula unit

```
data_In3Ga3Sn
_chemical_formula_sum 'In18 Ga18 Sn6'
_cell_length_a 8.5792
_cell_length_b 8.5792
_cell_length_c 15.7362
_cell_angle_alpha 90.00
_cell_angle_beta 90.00
_cell_angle_gamma 120.00
_symmetry_space_group_name_H-M 'R -3'
_symmetry_Int_Tables_number 148
_symmetry_space_group_name_Hall '-R 3'
loop_
_atom_site_label
_atom_site_type_symbol
_atom_site_fract_x
_atom_site_fract_y
_atom_site_fract_z
In1 In 0.0332 0.2406 0.4165
Ga1 Ga 0.0493 0.2299 0.9208
Sn1 Sn 0.0000 0.0000 0.2407
```



We obtain DOS(E_F) values of 37.7, 23.1, 1.5, 1.1, 0.7, 16.5 states/eV per cell for the records listed above, in that order.